TlMo3 | PBE | relaxed

The value obtained for the density of states at the Fermi level is 2.2 states/eV per cell. Its distance to the lowest polymorph of the same formula is 0.54 eV/f.u. The calculation puts the formation energy at 0.571 eV per atom. Its crystal system is tetragonal. Its total moment is 0.00 μB/cell.

It has space group P4/mmm (No. 123), with a = 4.096 Å, b = 4.096 Å, c = 4.077 Å, α = 90.00°, β = 90.00° and γ = 90.00°. Symmetry generates all atoms from Tl at (0.000, 0.000, 0.000), Mo at (0.000, 0.500, 0.500) and Mo at (0.500, 0.500, 0.000).

=====

Tl5Mo | PBE | relaxed

The value obtained for the density of states at the Fermi level is 1.9 states/eV per cell. Its distance to the lowest polymorph of the same formula is 2.44 eV/f.u. The calculation puts the formation energy at 0.834 eV per atom. Its crystal system is hexagonal. Its total moment is 4.39 μB/cell.

It has space group P6/mmm (No. 191), with a = 6.1172 Å, b = 6.1172 Å, c = 5.9205 Å, α = 90.00°, β = 90.00° and γ = 120.00°. Symmetry generates all atoms from Tl at (0.0000, 0.5000, 0.0000), Tl at (0.3333, 0.6667, 0.5000) and Mo at (0.0000, 0.0000, 0.5000).

=====

Tl2Mo | PBE | relaxed

The value obtained for the density of states at the Fermi level is 3.2 states/eV per cell. Its distance to the lowest polymorph of the same formula is 1.48 eV/f.u. The calculation puts the formation energy at 0.966 eV per atom. Its crystal system is trigonal. Its total moment is 0.01 μB/cell.

It has space group P-3m1 (No. 164), with a = 5.0152 Å, b = 5.0152 Å, c = 3.0325 Å, α = 90.00°, β = 90.00° and γ = 120.00°. Symmetry generates all atoms from Tl at (0.3333, 0.6667, 0.2022) and Mo at (0.0000, 0.0000, 0.5000).

=====

TlMo3 | PBE | relaxed

The value obtained for the density of states at the Fermi level is 21.0 states/eV per cell. Its distance to the lowest polymorph of the same formula is 0.64 eV/f.u. The calculation puts the formation energy at 0.598 eV per atom. Its crystal system is trigonal. Its total moment is 0.00 μB/cell.

It has space group R-3m (No. 166, hexagonal axes), with a = 3.1065 Å, b = 3.1065 Å, c = 26.1637 Å, α = 90.00°, β = 90.00° and γ = 120.00°. Symmetry generates all atoms from Tl at (0.0000, 0.0000, 0.0000), Mo at (0.0000, 0.0000, 0.2400) and Mo at (0.0000, 0.0000, 0.5000).